PuFeIr: optimized geometry, PBE-GGA.

Results
DOS at the Fermi energy: 9.7 states/eV/f.u.
DFT total energy: -64.83 eV for the cell shown
ΔE_f: -253.1 meV/atom
Crystal system: orthorhombic

a = 5.264 Å, b = 5.264 Å, c = 5.264 Å
α = 124.81°, β = 116.38°, γ = 89.12°
Fractional coordinates of all 6 atoms:
Pu 0.378 0.128 0.250
Pu 0.622 0.872 0.750
Fe 0.000 0.000 0.500
Fe 0.000 0.500 0.000
Ir 0.000 0.500 0.500
Ir 0.500 0.500 0.000


MgBe3C: optimized geometry, PBE-GGA.

Results
DOS at the Fermi energy: 1.7 states/eV/f.u.
DFT total energy: -19.39 eV for the cell shown
ΔE_f: 522.1 meV/atom
Offset from the most stable computed form: 0.000 eV per atom
Crystal system: cubic

a = 3.706 Å, b = 3.706 Å, c = 3.706 Å
α = 90.00°, β = 90.00°, γ = 90.00°
Fractional coordinates of all 5 atoms:
Mg 0.000 0.000 0.000
Be 0.000 0.500 0.500
Be 0.500 0.000 0.500
Be 0.500 0.500 0.000
C 0.500 0.500 0.500


RbFeAs2Br: optimized geometry, PBE-GGA.

Results
DOS at the Fermi energy: 2.0 states/eV/f.u.
DFT total energy: -21.55 eV for the cell shown
Formation energy (no corrections): -1.15 eV/f.u.
Crystal system: tetragonal

a = 4.552 Å, b = 4.552 Å, c = 7.007 Å
α = 90.00°, β = 90.00°, γ = 90.00°
Fractional coordinates of all 5 atoms:
Rb 0.000 0.000 0.000
Fe 0.500 0.500 0.500
As 0.000 0.500 0.500
As 0.500 0.000 0.500
Br 0.500 0.500 0.000


Zr2CuW: optimized geometry, PBE-GGA.

Results
DOS at the Fermi energy: 3.6 states/eV/f.u.
DFT total energy: -33.75 eV for the cell shown
ΔE_f: 99.8 meV/atom
Offset from the most stable computed form: 0.111 eV per atom
Crystal system: orthorhombic

a = 2.938 Å, b = 2.938 Å, c = 8.803 Å
α = 90.00°, β = 90.00°, γ = 105.75°
Fractional coordinates of all 4 atoms:
Zr 0.000 0.000 0.245
Zr 0.000 0.000 0.755
Cu 0.500 0.500 0.000
W 0.500 0.500 0.500


CeErNp2Sb4: optimized geometry, PBE-GGA.

Results
DOS at the Fermi energy: 29.3 states/eV/f.u.
DFT total energy: -57.71 eV for the cell shown
Formation energy (no corrections): -4.85 eV/f.u.
Crystal system: monoclinic

a = 7.646 Å, b = 4.406 Å, c = 7.649 Å
α = 90.00°, β = 109.38°, γ = 90.00°
Fractional coordinates of all 8 atoms:
Ce 0.000 0.000 0.000
Er 0.500 0.500 0.000
Np 0.000 0.500 0.500
Np 0.500 0.000 0.500
Sb 0.254 0.000 0.751
Sb 0.255 0.500 0.252
Sb 0.745 0.500 0.748
Sb 0.746 0.000 0.249


Na2AuSe: optimized geometry, PBE-GGA.

Results
DOS at the Fermi energy: 0.8 states/eV/f.u.
DFT total energy: -22.50 eV for the cell shown
Formation energy (no corrections): -1.85 eV/f.u.
Crystal system: tetragonal

a = 6.405 Å, b = 6.405 Å, c = 6.405 Å
α = 101.59°, β = 101.59°, γ = 126.73°
Fractional coordinates of all 8 atoms:
Na 0.107 0.625 0.982
Na 0.375 0.357 0.482
Na 0.643 0.125 0.018
Na 0.875 0.893 0.518
Au 0.250 0.750 0.500
Au 0.500 0.500 0.000
Se 0.000 0.000 0.000
Se 0.750 0.250 0.500


BaRhAu3: optimized geometry, PBE-GGA.

Results
DOS at the Fermi energy: 28.0 states/eV/f.u.
DFT total energy: -12.41 eV for the cell shown
ΔE_f: 1339.9 meV/atom
Offset from the most stable computed form: 1.486 eV per atom
Crystal system: cubic

a = 6.002 Å, b = 6.002 Å, c = 6.002 Å
α = 90.00°, β = 90.00°, γ = 90.00°
Fractional coordinates of all 5 atoms:
Ba 0.000 0.000 0.000
Rh 0.500 0.500 0.500
Au 0.000 0.000 0.500
Au 0.000 0.500 0.000
Au 0.500 0.000 0.000


ZrCoSb2: optimized geometry, PBE-GGA.

Results
DOS at the Fermi energy: 4.4 states/eV/f.u.
DFT total energy: -23.98 eV for the cell shown
Formation energy (no corrections): -0.08 eV/f.u.
Crystal system: trigonal

a = 8.813 Å, b = 8.813 Å, c = 8.813 Å
α = 21.59°, β = 21.59°, γ = 21.59°
Fractional coordinates of all 4 atoms:
Zr 0.000 0.000 0.000
Co 0.500 0.500 0.500
Sb 0.238 0.238 0.238
Sb 0.762 0.762 0.762